1.
Density functional theory data (PBE) for a relaxed SrBeRh4 crystal.

abc: 5.2674 5.2674 5.2674
angles: 60.00 60.00 60.00
Last column: nearest neighbours and their distance in Å.
Sites, in units of the cell vectors:
1 Be 0.0000 0.0000 0.0000  12 Rh 3.09, 4 Sr 3.23
2 Rh 0.3741 0.8777 0.3741  6 Rh 2.61-2.65
3 Rh 0.3741 0.3741 0.3741  6 Rh 2.61-2.65
4 Rh 0.8777 0.3741 0.3741  6 Rh 2.61-2.65
5 Rh 0.3741 0.3741 0.8777  6 Rh 2.61-2.65
6 Sr 0.7500 0.7500 0.7500  12 Rh 3.09, 4 Be 3.23

E_form, eV per atom: 0.17
Mass density, Mg/m³: 8.17

***

2.
Density functional theory data (PBE) for a relaxed SrBe2Rh2 crystal.

abc: 4.0495 4.0495 5.6984
angles: 69.19 69.19 90.00
Last column: nearest neighbours and their distance in Å.
Sites, in units of the cell vectors:
1 Rh 0.3587 0.3587 0.2825  4 Be 2.29
2 Rh 0.6413 0.6413 0.7175  4 Be 2.29
3 Be 0.7500 0.2500 0.5000  4 Rh 2.29
4 Be 0.2500 0.7500 0.5000  4 Rh 2.29
5 Sr 0.0000 0.0000 0.0000  10 Rh 3.18-3.53, 8 Be 3.19

Energy relative to the lowest polymorph listed for this composition, eV/f.u.: 0.00
E_form, eV per atom: -0.29
Mass density, Mg/m³: 6.40

***

3.
Density functional theory data (PBE) for a relaxed Sr2BeRh crystal.

abc: 8.1910 8.1910 6.5706
angles: 51.44 51.44 90.00
Last column: nearest neighbours and their distance in Å.
Sites, in units of the cell vectors:
1 Sr 0.3750 0.3483 0.7500  2 Rh 2.85, 2 Sr 3.13, 2 Be 3.15
2 Sr 0.8750 0.9017 0.7500  2 Rh 2.85, 2 Sr 3.13, 2 Be 3.15
3 Sr 0.0983 0.6250 0.2500  2 Rh 2.85, 2 Sr 3.13, 2 Be 3.15
4 Sr 0.6517 0.1250 0.2500  2 Rh 2.85, 2 Sr 3.13, 2 Be 3.15
5 Rh 0.7500 0.2500 0.5000  4 Sr 2.85, 2 Be 3.10
6 Rh 0.0000 0.0000 0.0000  4 Sr 2.85, 2 Be 3.10
7 Be 0.5000 0.5000 0.0000  2 Rh 3.10, 4 Sr 3.15
8 Be 0.2500 0.7500 0.5000  2 Rh 3.10, 4 Sr 3.15

E_form, eV per atom: 0.50
Mass density, Mg/m³: 4.58

***

4.
Density functional theory data (PBE) for a relaxed SrBe2Rh crystal.

abc: 4.6387 6.3140 3.0776
angles: 60.92 89.94 121.29
Last column: nearest neighbours and their distance in Å.
Sites, in units of the cell vectors:
1 Sr 0.5000 0.0000 0.5000  2 Rh 2.76, 8 Be 2.78, 2 Sr 3.08
2 Be 0.0000 0.5000 0.5000  4 Be 2.76-3.08, 4 Rh 2.78, 4 Sr 2.78
3 Be 0.0000 0.0000 0.0000  4 Be 2.76-3.08, 4 Sr 2.78, 4 Rh 2.78
4 Rh 0.5000 0.5000 0.0000  2 Sr 2.76, 8 Be 2.78, 2 Rh 3.08

Energy relative to the lowest polymorph listed for this composition, eV/f.u.: 3.37
E_form, eV per atom: 0.56
Mass density, Mg/m³: 5.47

***

5.
Density functional theory data (PBE) for a relaxed Sr2BeRh crystal.

abc: 8.5903 8.5903 8.5903
angles: 26.96 26.96 26.96
Last column: nearest neighbours and their distance in Å.
Sites, in units of the cell vectors:
1 Rh 0.7500 0.7500 0.7500  6 Sr 2.98
2 Sr 0.4926 0.4926 0.4926  3 Rh 2.98, 3 Be 3.23
3 Sr 0.0074 0.0074 0.0074  3 Rh 2.98, 3 Be 3.23
4 Be 0.2500 0.2500 0.2500  6 Sr 3.23

E_form, eV per atom: 0.49
Mass density, Mg/m³: 4.15

***

6.
Density functional theory data (PBE) for a relaxed SrBeRh crystal.

abc: 4.2283 4.2283 8.2935
angles: 90.00 90.00 90.00
Last column: nearest neighbours and their distance in Å.
Sites, in units of the cell vectors:
1 Rh 0.5000 0.5000 0.5000  4 Be 2.24
2 Rh 0.0000 0.0000 0.5000  4 Be 2.24
3 Be 0.5000 0.0000 0.5898  4 Rh 2.24
4 Be 0.0000 0.5000 0.4102  4 Rh 2.24
5 Sr 0.5000 0.0000 0.2175  5 Be 3.09-3.39, 4 Rh 3.16
6 Sr 0.0000 0.5000 0.7825  5 Be 3.09-3.39, 4 Rh 3.16

Energy relative to the lowest polymorph listed for this composition, eV/f.u.: 0.00
E_form, eV per atom: -0.42
Mass density, Mg/m³: 4.47

***

7.
Density functional theory data (PBE) for a relaxed SrBe2Rh crystal.

abc: 3.9466 3.9466 5.8298
angles: 70.35 70.35 59.99
Last column: nearest neighbours and their distance in Å.
Sites, in units of the cell vectors:
1 Be 0.4344 0.4344 0.6968  3 Rh 2.30, 3 Be 2.35
2 Be 0.0656 0.0656 0.8032  3 Rh 2.30, 3 Be 2.35
3 Rh 0.7500 0.7500 0.7500  6 Be 2.30
4 Sr 0.2500 0.2500 0.2500  8 Be 2.97-3.31

Energy relative to the lowest polymorph listed for this composition, eV/f.u.: 0.00
E_form, eV per atom: -0.28
Mass density, Mg/m³: 4.78

***

8.
Density functional theory data (PBE) for a relaxed Sr2BeRh crystal.

abc: 7.5862 7.5862 7.5862
angles: 149.71 146.28 45.95
Last column: nearest neighbours and their distance in Å.
Sites, in units of the cell vectors:
1 Sr 0.9955 0.9955 0.0000  2 Rh 3.04, 4 Be 3.19
2 Sr 0.7497 0.2497 0.5000  2 Be 3.14, 4 Rh 3.25
3 Be 0.4098 0.4098 0.0000  2 Rh 2.18
4 Rh 0.3450 0.8450 0.5000  2 Be 2.18

E_form, eV per atom: -0.12
Mass density, Mg/m³: 3.91

***

9.
Density functional theory data (PBE) for a relaxed SrBe2Rh2 crystal.

abc: 7.0993 7.0993 2.9732
angles: 90.00 90.00 90.00
Last column: nearest neighbours and their distance in Å.
Sites, in units of the cell vectors:
1 Sr 0.0000 0.0000 0.0000  4 Be 2.87, 2 Sr 2.97, 8 Rh 3.09
2 Sr 0.5000 0.5000 0.0000  4 Be 2.87, 2 Sr 2.97, 8 Rh 3.09
3 Be 0.6116 0.1116 0.0000  1 Be 2.24, 4 Rh 2.38
4 Be 0.8884 0.6116 0.0000  1 Be 2.24, 4 Rh 2.38
5 Be 0.3884 0.8884 0.0000  1 Be 2.24, 4 Rh 2.38
6 Be 0.1116 0.3884 0.0000  1 Be 2.24, 4 Rh 2.38
7 Rh 0.8527 0.3527 0.5000  4 Be 2.38
8 Rh 0.6473 0.8527 0.5000  4 Be 2.38
9 Rh 0.3527 0.1473 0.5000  4 Be 2.38
10 Rh 0.1473 0.6473 0.5000  4 Be 2.38

Energy relative to the lowest polymorph listed for this composition, eV/f.u.: 0.43
E_form, eV per atom: -0.21
Mass density, Mg/m³: 6.90

***

10.
Density functional theory data (PBE) for a relaxed SrBe2Rh crystal.

abc: 4.5820 4.5820 8.2395
angles: 73.86 73.86 90.00
Last column: nearest neighbours and their distance in Å.
Sites, in units of the cell vectors:
1 Sr 0.5000 0.5000 0.0000  8 Be 3.19, 4 Rh 3.24
2 Sr 0.2500 0.7500 0.5000  8 Be 3.19, 4 Rh 3.24
3 Be 0.8750 0.6250 0.2500  2 Rh 2.21, 2 Be 2.29
4 Be 0.8750 0.1250 0.7500  2 Rh 2.21, 2 Be 2.29
5 Be 0.8750 0.1250 0.2500  2 Rh 2.21, 2 Be 2.29
6 Be 0.3750 0.1250 0.7500  2 Rh 2.21, 2 Be 2.29
7 Rh 0.0000 0.0000 0.0000  4 Be 2.21
8 Rh 0.7500 0.2500 0.5000  4 Be 2.21

Energy relative to the lowest polymorph listed for this composition, eV/f.u.: 0.97
E_form, eV per atom: -0.04
Mass density, Mg/m³: 4.35

***

11.
Density functional theory data (PBE) for a relaxed Sr2BeRh crystal.

abc: 5.0345 5.0345 5.0345
angles: 60.00 60.00 60.00
Last column: nearest neighbours and their distance in Å.
Sites, in units of the cell vectors:
1 Be 0.5000 0.5000 0.5000  4 Rh 3.08, 4 Sr 3.08
2 Rh 0.7500 0.7500 0.7500  4 Be 3.08, 4 Sr 3.08
3 Sr 0.0000 0.0000 0.0000  4 Rh 3.08, 4 Sr 3.08
4 Sr 0.2500 0.2500 0.2500  4 Be 3.08, 4 Sr 3.08

E_form, eV per atom: 0.39
Mass density, Mg/m³: 5.28

***

12.
Density functional theory data (PBE) for a relaxed Sr2BeRh crystal.

abc: 4.0477 4.0477 8.4769
angles: 76.40 76.40 59.97
Last column: nearest neighbours and their distance in Å.
Sites, in units of the cell vectors:
1 Sr 0.7897 0.7897 0.6346  3 Rh 3.15, 3 Be 3.15
2 Sr 0.9600 0.9600 0.1151  3 Be 3.15-3.16, 3 Rh 3.15-3.16
3 Rh 0.2086 0.2086 0.3753  3 Be 2.34
4 Be 0.5417 0.5417 0.3750  3 Rh 2.34

E_form, eV per atom: -0.27
Mass density, Mg/m³: 4.12

***

| no. | V (Å³/atom) |
| --- | --- |
| 1 | 17.22 |
| 2 | 16.16 |
| 3 | 26.02 |
| 4 | 15.83 |
| 5 | 28.73 |
| 6 | 24.71 |
| 7 | 18.11 |
| 8 | 30.45 |
| 9 | 14.98 |
| 10 | 19.88 |
| 11 | 22.56 |
| 12 | 28.93 |